{
  "formula": "NdNi12Sb6",
  "functional": "PBE",
  "state": "relaxed",
  "crystal_system": "trigonal",
  "mass_density_g_cm3": 8.21,
  "raw_formation_energy_kcal_per_mol_atoms": -2.1,
  "cell": [[5.3150, 3.0686, 3.2636], [-5.3150, 3.0686, 3.2636], [0.0000, -6.1372, 3.2636]],
  "species": ["Nd", "Ni", "Ni", "Ni", "Ni", "Ni", "Ni", "Ni", "Ni", "Ni", "Ni", "Ni", "Ni", "Sb", "Sb", "Sb", "Sb", "Sb", "Sb"],
  "frac_coords": [[0.0000, 0.0000, 0.0000], [0.1022, 0.3410, 0.3410], [0.1175, 0.5000, 0.8825], [0.1175, 0.8825, 0.5000], [0.3410, 0.1022, 0.3410], [0.3410, 0.3410, 0.1022], [0.5000, 0.1175, 0.8825], [0.5000, 0.8825, 0.1175], [0.6590, 0.6590, 0.8978], [0.6590, 0.8978, 0.6590], [0.8825, 0.1175, 0.5000], [0.8825, 0.5000, 0.1175], [0.8978, 0.6590, 0.6590], [0.2497, 0.2497, 0.6698], [0.2497, 0.6698, 0.2497], [0.3302, 0.7503, 0.7503], [0.6698, 0.2497, 0.2497], [0.7503, 0.3302, 0.7503], [0.7503, 0.7503, 0.3302]]
}